! Gd2AlIn PBE relaxed; values from VASP
&SYSTEM
  ibrav = 0, nat = 4, ntyp = 3
/
ATOMIC_SPECIES
Gd 157.25 Gd.upf
In 114.82 In.upf
Al 26.98 Al.upf
CELL_PARAMETERS angstrom
-2.110 -2.180 2.042
1.343 -1.514 3.046
-3.197 6.375 6.774
ATOMIC_POSITIONS crystal
Gd 0.745 0.745 0.765
Gd 0.255 0.255 0.235
In 0.500 0.500 0.500
Al 0.000 0.000 0.000
! total DFT energy (no corrections): -8.8922 eV per atom
! DFT formation energy: -89 kJ/mol of formula units


! BaVC2 PBE relaxed; values from VASP
&SYSTEM
  ibrav = 0, nat = 8, ntyp = 3
/
ATOMIC_SPECIES
Ba 137.33 Ba.upf
C 12.01 C.upf
V 50.94 V.upf
CELL_PARAMETERS angstrom
-1.120 4.238 -4.016
-5.795 -0.304 1.295
-2.954 4.879 1.572
ATOMIC_POSITIONS crystal
Ba 0.750 0.250 0.500
C 0.284 0.125 0.250
V 0.500 0.500 0.000
C 0.375 0.716 0.750
C 0.466 0.625 0.250
V 0.250 0.750 0.500
C 0.875 0.534 0.750
Ba 0.000 0.000 0.000
! total DFT energy (no corrections): -7.0544 eV per atom
! DFT formation energy: 123 kJ/mol of formula units


! CdIn2NiPt PBE relaxed; values from VASP
&SYSTEM
  ibrav = 0, nat = 5, ntyp = 4
/
ATOMIC_SPECIES
In 114.82 In.upf
Cd 112.41 Cd.upf
Pt 195.08 Pt.upf
Ni 58.69 Ni.upf
CELL_PARAMETERS angstrom
5.174 0.000 0.000
0.000 4.833 0.000
0.000 0.000 5.174
ATOMIC_POSITIONS crystal
In 0.000 0.000 0.500
Cd 0.500 0.500 0.500
Pt 0.000 0.000 0.000
In 0.500 0.000 0.000
Ni 0.000 0.500 0.000
! total DFT energy (no corrections): -3.3780 eV per atom
! DFT formation energy: 128 kJ/mol of formula units


! LiNiH PBE relaxed; values from VASP
&SYSTEM
  ibrav = 0, nat = 3, ntyp = 3
/
ATOMIC_SPECIES
Ni 58.69 Ni.upf
Li 6.94 Li.upf
H 1.01 H.upf
CELL_PARAMETERS angstrom
-2.611 -0.109 0.556
1.748 -1.321 1.529
0.389 3.408 2.498
ATOMIC_POSITIONS crystal
Ni 0.333 0.667 0.552
Li 0.000 0.000 0.053
H 0.667 0.333 0.395
! total DFT energy (no corrections): -3.8459 eV per atom